(1)
Compound: AcErSi2Pt2
Source: Alexandria
Functional: PBE
Structure: relaxed

abc: 4.218 4.218 8.456
angles: 90.00 90.00 120.00
Fractional positions:
Si  0.667  0.333  0.270
Pt  0.333  0.667  0.280
Si  0.333  0.667  0.730
Ac  0.000  0.000  0.000
Pt  0.667  0.333  0.720
Er  0.000  0.000  0.500

Properties
Calculated density: 10.71 g/cm³
Magnetization: 0.00 μB/atom
ΔE_f (raw): -1115 meV per atom



(2)
Compound: AlPtRhAu
Source: Alexandria
Functional: PBE
Structure: relaxed

abc: 4.443 4.443 4.443
angles: 60.00 60.00 60.00
Fractional positions:
Al  0.000  0.000  0.000
Au  0.500  0.500  0.500
Rh  0.750  0.750  0.750
Pt  0.250  0.250  0.250

Properties
Calculated density: 13.98 g/cm³
Magnetization: 0.00 μB/atom
E_form: -431.4 meV/atom



(3)
Compound: PrSm3Y2
Source: Alexandria
Functional: PBE
Structure: relaxed

abc: 7.243 6.275 9.595
angles: 89.86 112.18 90.00
Fractional positions:
Y  0.457  0.917  0.665
Sm  0.958  0.917  0.664
Sm  0.624  0.250  0.000
Sm  0.707  0.417  0.664
Y  0.208  0.417  0.665
Sm  0.376  0.750  0.000
Pr  0.126  0.250  0.000
Y  0.543  0.083  0.335
Sm  0.293  0.583  0.336
Y  0.792  0.583  0.335
Pr  0.874  0.750  0.000
Sm  0.042  0.083  0.336

Properties
Calculated density: 6.33 g/cm³
Magnetization: 0.00 μB/atom
E_form: 14.9 meV/atom



(4)
Compound: ZnTcRh2
Source: Alexandria
Functional: PBE
Structure: relaxed

abc: 2.776 2.776 7.301
angles: 90.00 90.00 90.00
Fractional positions:
Rh  0.000  0.000  0.501
Tc  0.500  0.500  0.250
Rh  0.000  0.000  0.999
Zn  0.500  0.500  0.750

Properties
Calculated density: 10.90 g/cm³
Magnetization: 0.00 μB/atom
E_form: -258.7 meV/atom



(5)
Compound: PuHfZr4
Source: Alexandria
Functional: PBE
Structure: relaxed

abc: 3.211 8.581 10.371
angles: 90.00 90.00 100.78
Last column: magnetic moment on the atom in μB.
Fractional positions:
Zr  0.671  0.341  0.268  0.03
Pu  0.663  0.327  0.771  5.21
Zr  0.559  0.119  0.018  0.01
Hf  0.226  0.452  0.023  -0.03
Zr  0.441  0.881  0.518  0.01
Zr  0.996  0.992  0.765  0.00
Hf  0.774  0.548  0.523  -0.03
Pu  0.337  0.673  0.271  5.21
Zr  0.891  0.781  0.016  -0.01
Zr  0.329  0.659  0.768  0.03
Zr  0.109  0.219  0.516  -0.01
Zr  0.004  0.008  0.265  0.00

Properties
Calculated density: 9.32 g/cm³
Magnetization: 0.91 μB/atom
Polymorph energy (0 for the lowest one): 15.1 meV/atom
E_form: 66.3 meV/atom



(6)
Compound: Th2ZrUP4
Source: Alexandria
Functional: PBE
Structure: relaxed

abc: 3.978 6.875 6.944
angles: 109.15 90.00 90.00
Last column: magnetic moment on the atom in μB.
Fractional positions:
P  0.500  0.760  0.772  -0.01
Zr  0.000  0.000  0.000  0.04
U  0.500  0.500  0.000  1.73
P  0.000  0.748  0.230  -0.03
Th  0.500  0.000  0.500  0.01
Th  0.000  0.500  0.500  0.04
P  0.500  0.240  0.228  -0.01
P  0.000  0.252  0.770  -0.03

Properties
Calculated density: 8.49 g/cm³
Magnetization: 0.25 μB/atom
E_form: -1341.3 meV/atom



(7)
Compound: LiHfHg2
Source: Alexandria
Functional: PBE
Structure: relaxed

abc: 3.247 3.247 7.357
angles: 90.00 90.00 90.00
Fractional positions:
Li  0.500  0.500  0.000
Hg  0.000  0.000  0.773
Hf  0.500  0.500  0.500
Hg  0.000  0.000  0.227

Properties
Calculated density: 12.55 g/cm³
Magnetization: 0.00 μB/atom
E_form: -172.8 meV/atom



(8)
Compound: K2BaMg2
Source: Alexandria
Functional: PBE
Structure: relaxed

abc: 9.438 9.438 5.571
angles: 90.00 90.00 90.00
Last column: magnetic moment on the atom in μB.
Fractional positions:
K  0.330  0.170  0.500  0.01
Mg  0.117  0.383  0.000  0.00
Mg  0.883  0.617  0.000  0.00
Ba  0.000  0.000  0.000  0.05
K  0.670  0.830  0.500  0.01
K  0.170  0.670  0.500  0.01
Mg  0.617  0.117  0.000  0.00
Ba  0.500  0.500  0.000  0.05
Mg  0.383  0.883  0.000  0.00
K  0.830  0.330  0.500  0.01

Properties
Calculated density: 1.77 g/cm³
Magnetization: 0.08 μB/atom
Polymorph energy (0 for the lowest one): 0.0 meV/atom
E_form: 181.3 meV/atom



(9)
Compound: CsK2PbCl5
Source: Alexandria
Functional: PBE
Structure: relaxed

abc: 5.566 7.854 9.090
angles: 115.60 107.83 90.00
Fractional positions:
Cl  0.638  0.386  0.276
Cs  0.000  0.500  0.000
Pb  0.500  0.000  0.000
K  0.207  0.207  0.415
Cl  0.638  0.890  0.276
Cl  0.362  0.614  0.724
K  0.793  0.793  0.585
Cl  0.362  0.110  0.724
Cl  0.000  0.000  0.000

Properties
Calculated density: 2.93 g/cm³
Magnetization: 0.00 μB/atom
ΔE_f (raw): -1677 meV per atom



E_tot (computed, eV/cell): -38.29 -22.14 -63.55 -27.38 -116.16 -67.05 -13.16 -12.80 -31.08